Material: MgCoSi2
Method: DFT, GGA-PBE
State: relaxed

Properties
DOS(E_F) = 2.44 states/eV/f.u.
formation energy from raw total energies = 0.086 eV/atom

a b c (Å): 5.129 7.494 2.782
angles (deg): 90.00 90.22 90.00
Space group C2/m (No. 12)
One atom of each set of equivalent atoms:
Mg (0.000, 0.000, 0.000) x2
Co (0.000, 0.500, 0.000) x2
Si (0.250, 0.250, 0.500) x4